Entry 1:
The following is a DFT calculation (PBE with a Hubbard U) of a relaxed structure of BaCrAgO4.

It has space group Cmcm (No. 63), with a = 6.453 Å, b = 9.529 Å, c = 7.927 Å, α = 90.00°, β = 90.00° and γ = 90.00°. The inequivalent atoms are Ba at (0.000, 0.186, 0.250), Cr at (0.000, 0.175, 0.750), Ag at (0.000, 0.500, 0.000), O at (0.000, 0.278, 0.568) and O at (0.220, 0.073, 0.750).

The calculation puts the raw total energy at -6.13 eV/atom.


Entry 2:
The following is a DFT calculation (PBE with a Hubbard U) of a relaxed structure of BaCr2Ag2O6.

It has space group P-1 (No. 2), with a = 4.993 Å, b = 5.741 Å, c = 7.860 Å, α = 96.76°, β = 90.04° and γ = 110.83°. The inequivalent atoms are Ba at (0.000, 0.000, 0.000), Cr at (0.253, 0.659, 0.261), Ag at (0.342, 0.152, 0.484), O at (0.002, 0.219, 0.693), O at (0.187, 0.357, 0.281) and O at (0.424, 0.770, 0.091).

The calculation puts the raw total energy at -5.89 eV/atom.


Entry 3:
The following is a DFT calculation (PBE with a Hubbard U) of a relaxed structure of BaCrAg2O4.

It has space group I-42m (No. 121), with a = 6.002 Å, b = 6.002 Å, c = 7.134 Å, α = 90.00°, β = 90.00° and γ = 90.00°. The inequivalent atoms are Ba at (0.000, 0.000, 0.000), Cr at (0.000, 0.000, 0.500), Ag at (0.000, 0.500, 0.250) and O at (0.175, 0.175, 0.648).

The calculation puts the raw total energy at -5.66 eV/atom.


Entry 4:
The following is a DFT calculation (PBE with a Hubbard U) of a relaxed structure of BaCr2AgO8.

It has space group R-3 (No. 148, hexagonal axes), with a = 5.2315 Å, b = 5.2315 Å, c = 22.6148 Å, α = 90.00°, β = 90.00° and γ = 120.00°. The inequivalent atoms are Ba at (0.0000, 0.0000, 0.0000), Cr at (0.0000, 0.0000, 0.2477), Ag at (0.0000, 0.0000, 0.5000), O at (0.0000, 0.0000, 0.3213) and O at (0.0093, 0.3098, 0.7741).

The value obtained for the density of states at the Fermi level is 17.19 states/eV per cell. The calculation puts the raw total energy at -6.29 eV/atom.